(1)
VASP calculation (PBE) on CsMgCrP2 after structural relaxation.

a b c (Å): 5.022 5.022 5.198
angles (deg): 90.00 90.00 90.00
Sites, in units of the cell vectors:
Cs 0.000 0.000 0.000
Mg 0.500 0.500 0.500
Cr 0.500 0.500 0.000
P 0.000 0.500 0.500
P 0.500 0.000 0.500

## Properties
E_tot = -3.3490 eV/atom
Crystal system = tetragonal


(2)
VASP calculation (PBE) on Cs2MgCrS4 after structural relaxation.

a b c (Å): 14.462 12.937 7.702
angles (deg): 84.95 63.01 32.04
Sites, in units of the cell vectors:
Cs 0.052 0.052 0.698
Cs 0.302 0.302 0.948
Cs 0.698 0.698 0.052
Cs 0.948 0.948 0.302
Mg 0.125 0.125 0.125
Mg 0.875 0.875 0.875
Cr 0.375 0.375 0.375
Cr 0.625 0.625 0.625
S 0.016 0.636 0.554
S 0.294 0.554 0.636
S 0.364 0.984 0.706
S 0.446 0.706 0.984
S 0.554 0.294 0.016
S 0.636 0.016 0.294
S 0.706 0.446 0.364
S 0.984 0.364 0.446

## Properties
Formation energy from raw total energies = -8.54 eV per formula unit
Crystal system = orthorhombic